1.
Below is a relaxed structure of HoEr5Hg2, with properties calculated at the PBE level.

Geometry as POSCAR:
```
HoEr5Hg2
1.0
3.6754 0.0000 0.0000
1.8377 7.9265 -0.4439
1.8377 1.9615 7.6928
Er Hg Ho
5 2 1
Direct
0.3642 0.4092 0.8623
0.0000 0.5000 0.5000
0.3642 0.8623 0.4092
0.6358 0.1377 0.5908
0.6358 0.5908 0.1377
0.2624 0.2376 0.2376
0.7376 0.7624 0.7624
0.0000 0.0000 0.0000
```

Output
calculated volume = 227.3 Å³/cell
formation energy = -0.16 eV per atom


2.
Below is a relaxed structure of TcNiOs, with properties calculated at the PBE level.

Geometry as POSCAR:
```
TcNiOs
1.0
4.6743 -0.0064 0.0000
2.6000 3.8845 0.0000
-3.6371 -1.9391 2.2047
Tc Ni Os
1 1 1
Direct
0.6620 0.6620 0.0000
0.9995 0.9995 0.0000
0.3385 0.3385 0.0000
```

Output
calculated volume = 40.1 Å³/cell
offset from the most stable computed form = 144 meV/atom
formation energy = 0.16 eV per atom


3.
Below is a relaxed structure of K2Al2Sn, with properties calculated at the PBE level.

Geometry as POSCAR:
```
K2Al2Sn
1.0
7.2511 0.0000 0.0000
0.0000 7.2511 0.0000
0.0000 0.0000 5.9273
Al K Sn
4 4 2
Direct
0.3741 0.8741 0.0000
0.8741 0.6259 0.0000
0.1259 0.3741 0.0000
0.6259 0.1259 0.0000
0.3144 0.1856 0.5000
0.8144 0.3144 0.5000
0.1856 0.6856 0.5000
0.6856 0.8144 0.5000
0.5000 0.5000 0.0000
0.0000 0.0000 0.0000
```

Output
calculated volume = 311.7 Å³/cell
offset from the most stable computed form = 0 meV/atom
formation energy = 0.10 eV per atom


4.
Below is a relaxed structure of CaSmDy2S4, with properties calculated at the PBE level.

Geometry as POSCAR:
```
CaSmDy2S4
1.0
3.9375 0.0000 0.0000
0.0000 6.8525 -0.1525
0.0000 2.3964 6.4383
S Dy Sm Ca
4 2 1 1
Direct
0.5000 0.2437 0.7498
0.0000 0.7571 0.7443
0.0000 0.2429 0.2557
0.5000 0.7563 0.2502
0.0000 0.0000 0.0000
0.5000 0.0000 0.5000
0.5000 0.5000 0.0000
0.0000 0.5000 0.5000
```

Output
calculated volume = 175.2 Å³/cell
formation energy (no corrections) = -2028 meV per atom